Density functional theory data (PBE) for a relaxed structure of HfZr5Ni6.

Cell lengths 4.508, 6.652, 7.715 Å; angles 64.47, 73.30, 90.02 degrees
Atoms (fractional coordinates):
1 Zr 0.670 0.178 0.644
2 Zr 0.656 0.653 0.694
3 Zr 0.330 0.822 0.356
4 Zr 0.000 0.500 0.000
5 Zr 0.344 0.347 0.306
6 Ni 0.845 0.612 0.333
7 Ni 0.500 0.210 0.000
8 Ni 0.846 0.056 0.333
9 Ni 0.500 0.790 0.000
10 Ni 0.155 0.388 0.667
11 Ni 0.154 0.944 0.667
12 Hf 0.000 0.000 0.000

## Properties
- total magnetic moment (μB per atom) = 0.00
- formation energy (eV per formula unit) = -4.5

Density functional theory data (PBE) for a relaxed structure of HfZr2Ni2.

Cell lengths 7.335, 7.335, 3.313 Å; angles 90.00, 90.00, 90.00 degrees
Atoms (fractional coordinates):
1 Zr 0.169 0.669 0.500
2 Zr 0.669 0.831 0.500
3 Zr 0.331 0.169 0.500
4 Zr 0.831 0.331 0.500
5 Hf 0.500 0.500 0.000
6 Hf 0.000 0.000 0.000
7 Ni 0.376 0.876 0.000
8 Ni 0.876 0.624 0.000
9 Ni 0.124 0.376 0.000
10 Ni 0.624 0.124 0.000

## Properties
- total magnetic moment (μB per atom) = 0.00
- formation energy (eV per formula unit) = -1.7
- excess energy over the best structure of this formula in the dataset (meV per atom) = 0.0

Density functional theory data (PBE) for a relaxed structure of Hf2Zr3Ni2.

Cell lengths 3.256, 5.748, 8.298 Å; angles 112.57, 90.00, 106.45 degrees
Atoms (fractional coordinates):
1 Zr 0.612 0.224 0.444
2 Zr 0.500 0.000 0.000
3 Zr 0.388 0.776 0.556
4 Ni 0.836 0.672 0.777
5 Ni 0.164 0.328 0.223
6 Hf 0.839 0.678 0.181
7 Hf 0.161 0.322 0.819

## Properties
- total magnetic moment (μB per atom) = 0.00
- formation energy (eV per formula unit) = -1.7

formation energy of number 3 (Hf2Zr3Ni2)?
-1.7 eV per formula unit

Which of these has the lowest formation energy?
HfZr5Ni6